No. 1
Computed, not measured: crystalline TaTeRh2 at its relaxed geometry at the PBEsol level of DFT.

POSCAR file:
```
TaTeRh2
1.0
4.506 0.000 0.000
2.253 3.902 0.000
2.253 1.301 3.679
Te Rh Ta
1 2 1
Cartesian
2.253 1.301 0.920
0.000 0.000 0.000
6.759 3.902 2.759
4.506 2.602 1.840
```

Computed properties:
formation energy without anion corrections: -22 meV per atom
N(E_F): 0.667 states/eV per atom
theoretical density: 13201 kg/m3
E_tot: -0.596 Ry/atom
total magnetic moment: 0.0 μB per cell
space group: F-43m (216)


No. 2
Computed, not measured: crystalline ScHgI3 at its relaxed geometry at the PBEsol level of DFT.

POSCAR file:
```
ScHgI3
1.0
7.069 0.023 0.003
-3.496 6.147 0.020
-1.058 -1.789 9.137
I Hg Sc
6 2 2
Cartesian
1.807 1.294 7.467
-1.568 3.430 7.499
0.707 3.087 1.694
-2.955 5.212 1.706
4.082 0.952 1.662
5.469 -0.831 7.456
-0.813 1.351 4.581
3.327 3.030 4.581
0.758 3.340 9.157
1.756 1.042 0.005
```

Computed properties:
formation energy without anion corrections: -918 meV per atom
N(E_F): 0.000 states/eV per atom
theoretical density: 5225 kg/m3
E_tot: -0.251 Ry/atom
total magnetic moment: 0.0 μB per cell
space group: P-1 (2)


No. 3
Computed, not measured: crystalline KMg2Rh at its relaxed geometry at the PBEsol level of DFT.

POSCAR file:
```
KMg2Rh
1.0
3.229 0.000 0.000
-1.614 4.038 0.024
0.000 -0.923 7.846
K Rh Mg
1 1 2
Cartesian
1.614 0.000 0.000
0.000 -0.462 3.923
0.000 1.911 2.761
1.614 1.204 5.109
```

Computed properties:
formation energy: 49 kJ/mol of formula units
N(E_F): 0.459 states/eV per atom
theoretical density: 3092 kg/m3
E_tot: -0.224 Ry/atom
total magnetic moment: 0.0 μB per cell
space group: C2/m (12)


No. 4
Computed, not measured: crystalline ZrScSe3 at its relaxed geometry at the PBEsol level of DFT.

POSCAR file:
```
ZrScSe3
1.0
-1.364 1.838 -4.406
-4.761 -0.858 1.116
-0.349 4.532 1.998
Se Zr Sc
3 1 1
Cartesian
-0.174 2.266 0.999
-0.682 0.919 -2.203
-2.381 -0.429 0.558
-3.237 2.756 -0.646
0.000 0.000 0.000
```

Computed properties:
formation energy without anion corrections: -488 meV per atom
N(E_F): 0.827 states/eV per atom
theoretical density: 5061 kg/m3
E_tot: -0.436 Ry/atom
total magnetic moment: 1.0 μB per cell
space group: Pm-3m (221)


No. 5
Computed, not measured: crystalline LiGe3SbTe5 at its relaxed geometry at the PBEsol level of DFT.

POSCAR file:
```
LiGe3SbTe5
1.0
-2.337 1.274 -3.244
-2.495 -2.726 -1.986
-14.600 3.459 9.163
Sb Li Ge Te
1 1 3 5
Cartesian
-3.003 -0.062 -0.574
-8.867 -0.227 -1.842
-16.427 2.067 4.505
-9.687 0.994 1.942
-10.629 2.253 5.829
-6.942 1.134 2.733
-13.677 2.205 5.293
-4.854 -1.446 -5.212
-12.723 0.943 1.396
-6.006 -0.123 -1.148
```

Computed properties:
formation energy without anion corrections: -230 meV per atom
theoretical density: 6159 kg/m3
E_tot: -0.303 Ry/atom
total magnetic moment: 0.0 μB per cell
space group: R3m (160)


No. 6
Computed, not measured: crystalline NaZrBe2Ga at its relaxed geometry at the PBEsol level of DFT.

POSCAR file:
```
NaZrBe2Ga
1.0
-2.090 -4.197 -0.564
3.949 -1.704 -1.950
1.823 -1.590 5.082
Be Na Ga Zr
2 1 1 1
Cartesian
1.974 -0.852 -0.975
-1.045 -2.098 -0.282
0.911 -0.795 2.541
1.841 -3.746 1.284
0.000 0.000 0.000
```

Computed properties:
formation energy: 782 kJ/mol of formula units
N(E_F): 0.986 states/eV per atom
theoretical density: 2672 kg/m3
E_tot: -0.202 Ry/atom
total magnetic moment: 0.0 μB per cell
space group: P4/mmm (123)


No. 7
Computed, not measured: crystalline IrWO2 at its relaxed geometry at the PBEsol level of DFT.

POSCAR file:
```
IrWO2
1.0
2.969 0.000 0.000
1.484 2.571 0.000
1.484 0.857 6.363
W O Ir
1 2 1
Cartesian
0.000 0.000 0.000
1.484 0.857 4.296
4.453 2.571 2.067
2.969 1.714 3.182
```

Computed properties:
formation energy without anion corrections: -60 meV per atom
N(E_F): 0.642 states/eV per atom
theoretical density: 13949 kg/m3
E_tot: -0.632 Ry/atom
total magnetic moment: 0.0 μB per cell
space group: R-3m (166)


No. 8
Computed, not measured: crystalline LiMg2P at its relaxed geometry at the PBEsol level of DFT.

POSCAR file:
```
LiMg2P
1.0
3.515 0.000 0.000
0.000 3.515 0.000
0.000 0.000 5.693
Mg Li P
2 1 1
Cartesian
1.757 1.757 1.664
0.000 0.000 5.582
1.757 1.757 4.137
0.000 0.000 2.849
```

Computed properties:
formation energy: -87 kJ/mol of formula units
N(E_F): 0.258 states/eV per atom
theoretical density: 2043 kg/m3
E_tot: -0.222 Ry/atom
total magnetic moment: 0.0 μB per cell
space group: P4mm (99)


- Among the records above, which one has the highest E_tot?
  NaZrBe2Ga